Computed, not measured: a relaxed structure of MgB4Os3 at the PBE level of DFT.

Summary:
Formation energy   -0.228 eV per atom
Final energy   -127.63 eV for the cell shown
D(E_F)   0.42 states/eV/atom

Geometry as POSCAR:
```
MgB4Os3
1.0
1.463 -5.947 0.000
1.463 5.947 0.000
0.000 0.000 9.811
Mg B Os
2 8 6
Direct
0.000 0.000 0.000
0.000 0.000 0.500
0.123 0.877 0.750
0.155 0.845 0.250
0.340 0.660 0.611
0.340 0.660 0.889
0.660 0.340 0.111
0.660 0.340 0.389
0.845 0.155 0.750
0.877 0.123 0.250
0.301 0.699 0.107
0.301 0.699 0.393
0.483 0.517 0.750
0.517 0.483 0.250
0.699 0.301 0.607
0.699 0.301 0.893
```